Record 1
# MgReHg, relaxed, DFT PBE
# E_form in eV/atom: 0.484
# E above lowest polymorph in meV/atom: 453
# Fermi-level density of states in states/eV per cell: 2.0
data_MgReHg
_cell_length_a 2.9422
_cell_length_b 2.9422
_cell_length_c 7.1564
_cell_angle_alpha 90.00
_cell_angle_beta 90.00
_cell_angle_gamma 120.00
_space_group_name_H-M_alt 'P 3 m 1'
_space_group_IT_number 156
loop_
_space_group_symop_operation_xyz
'x,y,z'
'-y,x-y,z'
'-x+y,-x,z'
'-y,-x,z'
'-x+y,y,z'
'x,x-y,z'
loop_
_atom_site_label
_atom_site_fract_x
_atom_site_fract_y
_atom_site_fract_z
_atom_site_occupancy
Mg1 0.0000 0.0000 0.0000 1
Re1 0.6667 0.3333 0.3129 1
Hg1 0.3333 0.6667 0.6580 1


Record 2
# InHgS3, relaxed, DFT PBE
# E above lowest polymorph in meV/atom: 600
# Fermi-level density of states in states/eV per cell: 5.3
data_InHgS3
_cell_length_a 5.053
_cell_length_b 5.053
_cell_length_c 5.053
_cell_angle_alpha 90.00
_cell_angle_beta 90.00
_cell_angle_gamma 90.00
_space_group_name_H-M_alt 'P m -3 m'
_space_group_IT_number 221
_space_group_name_Hall '-P 4 2 3'
loop_
_atom_site_label
_atom_site_fract_x
_atom_site_fract_y
_atom_site_fract_z
_atom_site_occupancy
In1 0.000 0.000 0.000 1
Hg1 0.500 0.500 0.500 1
S1 0.000 0.000 0.500 1


Record 3
# LaCe3Er2S6, relaxed, DFT PBE
# Fermi-level density of states in states/eV per cell: 33.1
# DFT total energy in eV/f.u.: -81.0
data_LaCe3Er2S6
_cell_length_a 6.908
_cell_length_b 11.974
_cell_length_c 6.950
_cell_angle_alpha 90.00
_cell_angle_beta 109.44
_cell_angle_gamma 90.00
_space_group_name_H-M_alt 'C 1 2/m 1'
_space_group_IT_number 12
loop_
_space_group_symop_operation_xyz
'x,y,z'
'-x,-y,-z'
'-x,y,-z'
'x,-y,z'
'x+1/2,y+1/2,z'
'-x+1/2,-y+1/2,-z'
'-x+1/2,y+1/2,-z'
'x+1/2,-y+1/2,z'
loop_
_atom_site_label
_atom_site_fract_x
_atom_site_fract_y
_atom_site_fract_z
_atom_site_occupancy
La1 0.000 0.000 0.000 1
Ce1 0.000 0.162 0.500 1
Ce2 0.000 0.500 0.500 1
Er1 0.000 0.333 0.000 1
S1 0.233 0.500 0.238 1
S2 0.245 0.327 0.757 1


Record 4
# Ho2SnGe2Rh5, relaxed, DFT PBE
# E_form in eV/atom: -0.829
# Fermi-level density of states in states/eV per cell: 5.3
data_Ho2SnGe2Rh5
_cell_length_a 9.757
_cell_length_b 9.757
_cell_length_c 3.657
_cell_angle_alpha 90.00
_cell_angle_beta 90.00
_cell_angle_gamma 90.00
_space_group_name_H-M_alt 'P 4/m b m'
_space_group_IT_number 127
_space_group_name_Hall '-P 4 2ab'
loop_
_atom_site_label
_atom_site_fract_x
_atom_site_fract_y
_atom_site_fract_z
_atom_site_occupancy
Ho1 0.175 0.325 0.000 1
Sn1 0.000 0.000 0.000 1
Ge1 0.123 0.623 0.000 1
Rh1 0.000 0.500 0.500 1
Rh2 0.069 0.789 0.500 1


Record 5
# PrPt6Au, relaxed, DFT PBE
# E_form in eV/atom: -0.048
# Fermi-level density of states in states/eV per cell: 12.3
data_PrPt6Au
_cell_length_a 5.267
_cell_length_b 5.267
_cell_length_c 5.267
_cell_angle_alpha 90.00
_cell_angle_beta 90.00
_cell_angle_gamma 90.00
_space_group_name_H-M_alt 'P m -3'
_space_group_IT_number 200
_space_group_name_Hall '-P 2 2 3'
loop_
_atom_site_label
_atom_site_fract_x
_atom_site_fract_y
_atom_site_fract_z
_atom_site_occupancy
Pr1 0.000 0.000 0.000 1
Pt1 0.000 0.255 0.500 1
Au1 0.500 0.500 0.500 1


Record 6
# Ca2NdAl, relaxed, DFT PBE
# E_form in eV/atom: 0.149
# E above lowest polymorph in meV/atom: 233
# Fermi-level density of states in states/eV per cell: 11.1
data_Ca2NdAl
_cell_length_a 3.5629
_cell_length_b 3.5629
_cell_length_c 36.0593
_cell_angle_alpha 90.00
_cell_angle_beta 90.00
_cell_angle_gamma 120.00
_space_group_name_H-M_alt 'R -3 m'
_space_group_IT_number 166
_space_group_name_Hall '-R 3 2"'
loop_
_atom_site_label
_atom_site_fract_x
_atom_site_fract_y
_atom_site_fract_z
_atom_site_occupancy
Ca1 0.0000 0.0000 0.0986 1
Nd1 0.0000 0.0000 0.0000 1
Al1 0.0000 0.0000 0.5000 1


Record 7
# BaNa2P2, relaxed, DFT PBE
# E_form in eV/atom: -0.595
# E above lowest polymorph in meV/atom: 0
# Fermi-level density of states in states/eV per cell: 0.1
data_BaNa2P2
_cell_length_a 4.615
_cell_length_b 4.615
_cell_length_c 11.893
_cell_angle_alpha 90.00
_cell_angle_beta 90.00
_cell_angle_gamma 90.00
_space_group_name_H-M_alt 'I 4/m m m'
_space_group_IT_number 139
_space_group_name_Hall '-I 4 2'
loop_
_atom_site_label
_atom_site_fract_x
_atom_site_fract_y
_atom_site_fract_z
_atom_site_occupancy
Ba1 0.000 0.000 0.000 1
Na1 0.000 0.500 0.250 1
P1 0.000 0.000 0.404 1


Record 8
# Al2CdW, relaxed, DFT PBE
# E_form in eV/atom: 0.202
# Fermi-level density of states in states/eV per cell: 1.3
data_Al2CdW
_cell_length_a 2.811
_cell_length_b 4.318
_cell_length_c 5.643
_cell_angle_alpha 90.00
_cell_angle_beta 90.00
_cell_angle_gamma 90.00
_space_group_name_H-M_alt 'P m m m'
_space_group_IT_number 47
loop_
_space_group_symop_operation_xyz
'x,y,z'
'-x,-y,-z'
'-x,-y,z'
'x,y,-z'
'x,-y,-z'
'-x,y,z'
'-x,y,-z'
'x,-y,z'
loop_
_atom_site_label
_atom_site_fract_x
_atom_site_fract_y
_atom_site_fract_z
_atom_site_occupancy
Al1 0.000 0.000 0.221 1
Cd1 0.000 0.500 0.500 1
W1 0.500 0.500 0.000 1


Record 9
# LiZnCd4, relaxed, DFT PBE
# E_form in eV/atom: -0.026
# E above lowest polymorph in meV/atom: 15
# Fermi-level density of states in states/eV per cell: 3.3
data_LiZnCd4
_cell_length_a 8.211
_cell_length_b 4.741
_cell_length_c 7.292
_cell_angle_alpha 90.00
_cell_angle_beta 115.22
_cell_angle_gamma 90.00
_space_group_name_H-M_alt 'C 1 2/m 1'
_space_group_IT_number 12
loop_
_space_group_symop_operation_xyz
'x,y,z'
'-x,-y,-z'
'-x,y,-z'
'x,-y,z'
'x+1/2,y+1/2,z'
'-x+1/2,-y+1/2,-z'
'-x+1/2,y+1/2,-z'
'x+1/2,-y+1/2,z'
loop_
_atom_site_label
_atom_site_fract_x
_atom_site_fract_y
_atom_site_fract_z
_atom_site_occupancy
Li1 0.000 0.000 0.000 1
Zn1 0.000 0.500 0.500 1
Cd1 0.132 0.500 0.904 1
Cd2 0.215 0.000 0.640 1


Record 10
# SrGd2Pd, relaxed, DFT PBE
# E_form in eV/atom: -0.310
# E above lowest polymorph in meV/atom: 0
# Fermi-level density of states in states/eV per cell: 7.0
data_SrGd2Pd
_cell_length_a 3.637
_cell_length_b 3.637
_cell_length_c 9.626
_cell_angle_alpha 90.00
_cell_angle_beta 90.00
_cell_angle_gamma 90.00
_space_group_name_H-M_alt 'P 4/m m m'
_space_group_IT_number 123
_space_group_name_Hall '-P 4 2'
loop_
_atom_site_label
_atom_site_fract_x
_atom_site_fract_y
_atom_site_fract_z
_atom_site_occupancy
Sr1 0.000 0.000 0.000 1
Gd1 0.500 0.500 0.330 1
Pd1 0.000 0.000 0.500 1


Record 11
# ZrAgP2, relaxed, DFT PBE
# E_form in eV/atom: 0.149
# E above lowest polymorph in meV/atom: 611
# Fermi-level density of states in states/eV per cell: 4.1
data_ZrAgP2
_cell_length_a 3.870
_cell_length_b 4.415
_cell_length_c 8.691
_cell_angle_alpha 90.00
_cell_angle_beta 90.00
_cell_angle_gamma 90.00
_space_group_name_H-M_alt 'C m m 2'
_space_group_IT_number 35
loop_
_space_group_symop_operation_xyz
'x,y,z'
'-x,-y,z'
'-x,y,z'
'x,-y,z'
'x+1/2,y+1/2,z'
'-x+1/2,-y+1/2,z'
'-x+1/2,y+1/2,z'
'x+1/2,-y+1/2,z'
loop_
_atom_site_label
_atom_site_fract_x
_atom_site_fract_y
_atom_site_fract_z
_atom_site_occupancy
Zr1 0.000 0.000 0.000 1
Ag1 0.000 0.500 0.732 1
P1 0.000 0.000 0.515 1
P2 0.000 0.500 0.208 1


Record 12
# OsWSe, relaxed, DFT PBE
# E above lowest polymorph in meV/atom: 356
# Fermi-level density of states in states/eV per cell: 11.1
data_OsWSe
_cell_length_a 6.036
_cell_length_b 6.036
_cell_length_c 6.036
_cell_angle_alpha 90.00
_cell_angle_beta 90.00
_cell_angle_gamma 90.00
_space_group_name_H-M_alt 'F -4 3 m'
_space_group_IT_number 216
_space_group_name_Hall 'F -4 2 3'
loop_
_atom_site_label
_atom_site_fract_x
_atom_site_fract_y
_atom_site_fract_z
_atom_site_occupancy
Os1 0.000 0.000 0.000 1
W1 0.250 0.250 0.750 1
Se1 0.000 0.000 0.500 1


Record 13
# Si2Tc2Os, relaxed, DFT PBE
# Fermi-level density of states in states/eV per cell: 10.8
# DFT total energy in eV/f.u.: -43.4
data_Si2Tc2Os
_cell_length_a 6.819
_cell_length_b 6.819
_cell_length_c 2.919
_cell_angle_alpha 90.00
_cell_angle_beta 90.00
_cell_angle_gamma 90.00
_space_group_name_H-M_alt 'P 4/m b m'
_space_group_IT_number 127
_space_group_name_Hall '-P 4 2ab'
loop_
_atom_site_label
_atom_site_fract_x
_atom_site_fract_y
_atom_site_fract_z
_atom_site_occupancy
Si1 0.139 0.361 0.000 1
Tc1 0.160 0.660 0.500 1
Os1 0.000 0.000 0.000 1


Record 14
# Sm5AlGa4, relaxed, DFT PBE
# E_form in eV/atom: -0.532
# Fermi-level density of states in states/eV per cell: 4.1
data_Sm5AlGa4
_cell_length_a 3.654
_cell_length_b 3.654
_cell_length_c 18.280
_cell_angle_alpha 90.00
_cell_angle_beta 90.00
_cell_angle_gamma 90.00
_space_group_name_H-M_alt 'P 4/m m m'
_space_group_IT_number 123
_space_group_name_Hall '-P 4 2'
loop_
_atom_site_label
_atom_site_fract_x
_atom_site_fract_y
_atom_site_fract_z
_atom_site_occupancy
Sm1 0.000 0.000 0.000 1
Sm2 0.000 0.000 0.199 1
Sm3 0.000 0.000 0.398 1
Al1 0.500 0.500 0.500 1
Ga1 0.500 0.500 0.100 1
Ga2 0.500 0.500 0.299 1


Record 15
# CrTePt2, relaxed, DFT PBE
# Fermi-level density of states in states/eV per cell: 11.6
# DFT total energy in eV/f.u.: -24.3
data_CrTePt2
_cell_length_a 4.0802
_cell_length_b 4.0802
_cell_length_c 15.7881
_cell_angle_alpha 90.00
_cell_angle_beta 90.00
_cell_angle_gamma 120.00
_space_group_name_H-M_alt 'R 3 m'
_space_group_IT_number 160
_space_group_name_Hall 'R 3 -2"'
loop_
_atom_site_label
_atom_site_fract_x
_atom_site_fract_y
_atom_site_fract_z
_atom_site_occupancy
Cr1 0.0000 0.0000 0.0000 1
Te1 0.0000 0.0000 0.2325 1
Pt1 0.0000 0.0000 0.4783 1
Pt2 0.0000 0.0000 0.7238 1


Record 16
# BaCd2In, relaxed, DFT PBE
# E_form in eV/atom: -0.199
# Fermi-level density of states in states/eV per cell: 2.4
data_BaCd2In
_cell_length_a 3.888
_cell_length_b 3.888
_cell_length_c 8.040
_cell_angle_alpha 90.00
_cell_angle_beta 90.00
_cell_angle_gamma 90.00
_space_group_name_H-M_alt 'P 4 m m'
_space_group_IT_number 99
loop_
_space_group_symop_operation_xyz
'x,y,z'
'-y,x,z'
'-x,-y,z'
'y,-x,z'
'-x,y,z'
'y,x,z'
'x,-y,z'
'-y,-x,z'
loop_
_atom_site_label
_atom_site_fract_x
_atom_site_fract_y
_atom_site_fract_z
_atom_site_occupancy
Ba1 0.000 0.000 0.000 1
Cd1 0.000 0.000 0.493 1
Cd2 0.500 0.500 0.300 1
In1 0.500 0.500 0.696 1


Record 17
# Pm12SmOs4, relaxed, DFT PBE
# E_form in eV/atom: 0.049
# Fermi-level density of states in states/eV per cell: 27.8
data_Pm12SmOs4
_cell_length_a 10.473
_cell_length_b 10.473
_cell_length_c 10.473
_cell_angle_alpha 90.00
_cell_angle_beta 90.00
_cell_angle_gamma 90.00
_space_group_name_H-M_alt 'I m -3'
_space_group_IT_number 204
_space_group_name_Hall '-I 2 2 3'
loop_
_atom_site_label
_atom_site_fract_x
_atom_site_fract_y
_atom_site_fract_z
_atom_site_occupancy
Pm1 0.000 0.312 0.177 1
Sm1 0.000 0.000 0.000 1
Os1 0.250 0.250 0.250 1


Record 18
# Li9Mg4Pb11, relaxed, DFT PBE
# E_form in eV/atom: -0.188
# Fermi-level density of states in states/eV per cell: 19.6
data_Li9Mg4Pb11
_cell_length_a 15.769
_cell_length_b 20.527
_cell_length_c 3.535
_cell_angle_alpha 90.00
_cell_angle_beta 90.00
_cell_angle_gamma 90.00
_space_group_name_H-M_alt 'C m m m'
_space_group_IT_number 65
_space_group_name_Hall '-C 2 2'
loop_
_atom_site_label
_atom_site_fract_x
_atom_site_fract_y
_atom_site_fract_z
_atom_site_occupancy
Li1 0.000 0.000 0.000 1
Li2 0.106 0.409 0.000 1
Li3 0.116 0.230 0.000 1
Mg1 0.156 0.081 0.000 1
Pb1 0.000 0.131 0.500 1
Pb2 0.000 0.317 0.500 1
Pb3 0.000 0.500 0.500 1
Pb4 0.218 0.500 0.500 1
Pb5 0.226 0.327 0.500 1


Record 19
# Dy2Co2P2C, relaxed, DFT PBE
# E_form in eV/atom: -0.861
# Fermi-level density of states in states/eV per cell: 9.0
data_Dy2Co2P2C
_cell_length_a 10.517
_cell_length_b 3.759
_cell_length_c 6.583
_cell_angle_alpha 90.00
_cell_angle_beta 126.53
_cell_angle_gamma 90.00
_space_group_name_H-M_alt 'C 1 2/m 1'
_space_group_IT_number 12
loop_
_space_group_symop_operation_xyz
'x,y,z'
'-x,-y,-z'
'-x,y,-z'
'x,-y,z'
'x+1/2,y+1/2,z'
'-x+1/2,-y+1/2,-z'
'-x+1/2,y+1/2,-z'
'x+1/2,-y+1/2,z'
loop_
_atom_site_label
_atom_site_fract_x
_atom_site_fract_y
_atom_site_fract_z
_atom_site_occupancy
Dy1 0.063 0.000 0.307 1
Co1 0.193 0.500 0.077 1
P1 0.174 0.500 0.714 1
C1 0.000 0.500 0.000 1


Record 20
# ZrAgAs2, relaxed, DFT PBE
# E_form in eV/atom: -0.367
# Fermi-level density of states in states/eV per cell: 3.4
data_ZrAgAs2
_cell_length_a 3.827
_cell_length_b 3.878
_cell_length_c 10.508
_cell_angle_alpha 90.00
_cell_angle_beta 90.00
_cell_angle_gamma 90.00
_space_group_name_H-M_alt 'I m m 2'
_space_group_IT_number 44
loop_
_space_group_symop_operation_xyz
'x,y,z'
'-x,-y,z'
'-x,y,z'
'x,-y,z'
'x+1/2,y+1/2,z+1/2'
'-x+1/2,-y+1/2,z+1/2'
'-x+1/2,y+1/2,z+1/2'
'x+1/2,-y+1/2,z+1/2'
loop_
_atom_site_label
_atom_site_fract_x
_atom_site_fract_y
_atom_site_fract_z
_atom_site_occupancy
Zr1 0.000 0.000 0.000 1
Ag1 0.000 0.500 0.754 1
As1 0.000 0.000 0.542 1
As2 0.000 0.500 0.303 1